Record 1
Here is an optimized crystal structure of Sr2ZrTc from Alexandria via LeMat-Bulk. Energies are from PBE.

The structure in POSCAR format:
```
Sr2ZrTc
1.0
-2.334 -6.117 -0.948
4.678 0.472 4.125
-1.802 -1.038 2.340
Sr Tc Zr
2 1 1
Cartesian
0.000 0.000 0.000
-2.068 -3.578 0.696
1.438 -0.283 3.233
1.172 -2.823 1.589
```

Values from the calculation:
total energy: -18.65 eV for the cell shown
energy relative to the lowest polymorph listed for this composition: 65.9 kJ per mole of atoms
density of states at the Fermi level: 1.012 states/eV/atom
calculated formation energy: 0.91 eV per atom
total moment: 0.0 μB/f.u.

---

Record 2
Here is an optimized crystal structure of Sr2ZrTc from Alexandria via LeMat-Bulk. Energies are from PBE.

The structure in POSCAR format:
```
Sr2ZrTc
1.0
10.894 -0.034 -0.020
10.279 3.608 -0.020
10.279 1.735 3.163
Sr Tc Zr
2 1 1
Cartesian
0.301 0.051 0.030
7.153 1.208 0.710
15.386 2.597 1.528
24.338 4.109 2.417
```

Values from the calculation:
total energy: -20.51 eV for the cell shown
energy relative to the lowest polymorph listed for this composition: 21.0 kJ per mole of atoms
density of states at the Fermi level: 0.968 states/eV/atom
calculated formation energy: 0.44 eV per atom
total moment: 0.0 μB/f.u.

---

Record 3
Here is an optimized crystal structure of SrZr2Tc from Alexandria via LeMat-Bulk. Energies are from PBE.

The structure in POSCAR format:
```
SrZr2Tc
1.0
-0.832 -2.272 3.659
0.844 -4.303 0.125
6.084 -0.965 3.441
Tc Sr Zr
1 1 2
Cartesian
1.524 -1.885 1.806
4.573 -5.654 5.419
2.383 -3.898 3.371
0.677 -6.446 4.026
```

Values from the calculation:
total energy: -28.07 eV for the cell shown
energy relative to the lowest polymorph listed for this composition: 19.9 kJ per mole of atoms
density of states at the Fermi level: 1.003 states/eV/atom
calculated formation energy: 0.27 eV per atom
total moment: 0.0 μB/f.u.

---

Record 4
Here is an optimized crystal structure of SrZrTc2 from Alexandria via LeMat-Bulk. Energies are from PBE.

The structure in POSCAR format:
```
SrZrTc2
1.0
-0.447 0.053 -2.995
-1.031 -2.572 1.223
-8.369 3.983 1.318
Zr Tc Sr
1 2 1
Cartesian
-2.831 -0.264 -0.557
-0.219 0.104 0.034
-3.966 1.887 0.625
-7.016 1.728 0.102
```

Values from the calculation:
total energy: -28.87 eV for the cell shown
energy relative to the lowest polymorph listed for this composition: 21.0 kJ per mole of atoms
density of states at the Fermi level: 0.811 states/eV/atom
calculated formation energy: 0.52 eV per atom
total moment: 0.0 μB/f.u.

---

Record 5
Here is an optimized crystal structure of Sr2ZrTc from Alexandria via LeMat-Bulk. Energies are from PBE.

The structure in POSCAR format:
```
Sr2ZrTc
1.0
-1.017 -2.847 -3.239
3.188 -1.593 -2.632
1.879 -7.939 3.382
Tc Sr Zr
1 2 1
Cartesian
2.170 -6.999 -0.575
1.768 -7.315 2.857
1.122 -3.716 -0.101
2.894 -8.477 -2.534
```

Values from the calculation:
total energy: -21.05 eV for the cell shown
energy relative to the lowest polymorph listed for this composition: 8.1 kJ per mole of atoms
density of states at the Fermi level: 1.098 states/eV/atom
calculated formation energy: 0.31 eV per atom
total moment: 0.0 μB/f.u.

---

Record 6
Here is an optimized crystal structure of SrZrTc2 from Alexandria via LeMat-Bulk. Energies are from PBE.

The structure in POSCAR format:
```
SrZrTc2
1.0
-4.597 0.228 3.172
4.036 -2.933 2.522
0.833 1.859 2.017
Sr Tc Zr
1 2 1
Cartesian
2.434 -0.537 2.269
0.000 0.000 0.000
-0.281 -1.352 2.847
-1.882 1.043 2.594
```

Values from the calculation:
total energy: -28.02 eV for the cell shown
energy relative to the lowest polymorph listed for this composition: 41.5 kJ per mole of atoms
density of states at the Fermi level: 1.000 states/eV/atom
calculated formation energy: 0.73 eV per atom
total moment: 0.0 μB/f.u.

---

Record 7
Here is an optimized crystal structure of Sr2ZrTc from Alexandria via LeMat-Bulk. Energies are from PBE.

The structure in POSCAR format:
```
Sr2ZrTc
1.0
-0.577 9.605 1.101
-2.740 9.166 -1.508
-3.247 0.416 2.623
Tc Sr Zr
1 2 1
Cartesian
-1.641 4.797 0.554
-3.287 11.342 0.818
-3.312 17.024 -0.117
-4.923 14.391 1.662
```

Values from the calculation:
total energy: -20.86 eV for the cell shown
energy relative to the lowest polymorph listed for this composition: 12.7 kJ per mole of atoms
density of states at the Fermi level: 1.271 states/eV/atom
calculated formation energy: 0.36 eV per atom
total moment: 0.0 μB/f.u.

---

Record 8
Here is an optimized crystal structure of SrZrTc from Alexandria via LeMat-Bulk. Energies are from PBE.

The structure in POSCAR format:
```
SrZrTc
1.0
4.781 0.000 0.000
2.391 4.141 0.000
2.391 1.380 3.904
Zr Tc Sr
1 1 1
Cartesian
0.000 0.000 0.000
7.172 4.141 2.928
4.781 2.760 1.952
```

Values from the calculation:
total energy: -18.44 eV for the cell shown
energy relative to the lowest polymorph listed for this composition: 46.2 kJ per mole of atoms
density of states at the Fermi level: 0.964 states/eV/atom
calculated formation energy: 0.72 eV per atom
total moment: 0.0 μB/f.u.

---

Record 9
Here is an optimized crystal structure of SrZrTc from Alexandria via LeMat-Bulk. Energies are from PBE.

The structure in POSCAR format:
```
SrZrTc
1.0
4.702 0.000 0.000
-2.351 4.072 0.000
0.000 0.000 3.713
Tc Sr Zr
1 1 1
Cartesian
2.351 1.357 1.525
0.000 0.000 0.069
0.000 2.715 2.119
```

Values from the calculation:
total energy: -18.79 eV for the cell shown
energy relative to the lowest polymorph listed for this composition: 35.0 kJ per mole of atoms
density of states at the Fermi level: 0.859 states/eV/atom
calculated formation energy: 0.60 eV per atom
total moment: 0.0 μB/f.u.

---

Record 10
Here is an optimized crystal structure of SrZr2Tc from Alexandria via LeMat-Bulk. Energies are from PBE.

The structure in POSCAR format:
```
SrZr2Tc
1.0
6.521 0.012 -0.001
3.731 5.348 0.001
-4.666 -3.559 2.843
Zr Tc Sr
2 1 1
Cartesian
0.683 0.357 0.000
3.439 -0.460 1.421
1.888 2.126 1.422
4.701 2.458 0.000
```

Values from the calculation:
total energy: -27.91 eV for the cell shown
energy relative to the lowest polymorph listed for this composition: 23.8 kJ per mole of atoms
density of states at the Fermi level: 0.971 states/eV/atom
calculated formation energy: 0.31 eV per atom
total moment: 0.0 μB/f.u.

---

Record 11
Here is an optimized crystal structure of SrZrTc3 from Alexandria via LeMat-Bulk. Energies are from PBE.

The structure in POSCAR format:
```
SrZrTc3
1.0
-1.551 0.473 4.664
-3.617 -3.247 -0.874
2.983 -3.691 1.366
Zr Tc Sr
1 3 1
Cartesian
0.000 0.000 0.000
-0.776 0.237 2.332
1.491 -1.845 0.683
-1.808 -1.623 -0.437
-1.092 -3.232 2.578
```

Values from the calculation:
total energy: -34.43 eV for the cell shown
energy relative to the lowest polymorph listed for this composition: 0.0 kJ per mole of atoms
density of states at the Fermi level: 1.202 states/eV/atom
calculated formation energy: 1.38 eV per atom
total moment: 3.4 μB/f.u.

---

Record 12
Here is an optimized crystal structure of SrZrTc2 from Alexandria via LeMat-Bulk. Energies are from PBE.

The structure in POSCAR format:
```
SrZrTc2
1.0
9.251 0.004 0.002
8.680 3.202 0.002
8.680 1.552 2.801
Sr Tc Zr
1 2 1
Cartesian
19.958 3.568 2.104
13.573 2.426 1.431
26.342 4.709 2.777
6.653 1.189 0.701
```

Values from the calculation:
total energy: -28.53 eV for the cell shown
energy relative to the lowest polymorph listed for this composition: 29.3 kJ per mole of atoms
density of states at the Fermi level: 1.534 states/eV/atom
calculated formation energy: 0.61 eV per atom
total moment: 0.0 μB/f.u.

---

Record 13
Here is an optimized crystal structure of SrZr2Tc from Alexandria via LeMat-Bulk. Energies are from PBE.

The structure in POSCAR format:
```
SrZr2Tc
1.0
5.798 -0.007 0.000
2.650 5.157 0.000
-4.224 -2.575 3.024
Sr Tc Zr
1 1 2
Cartesian
4.224 2.575 0.000
2.899 -0.003 1.512
1.325 2.579 1.512
0.000 0.000 0.000
```

Values from the calculation:
total energy: -26.41 eV for the cell shown
energy relative to the lowest polymorph listed for this composition: 59.9 kJ per mole of atoms
density of states at the Fermi level: 1.252 states/eV/atom
calculated formation energy: 0.68 eV per atom
total moment: 0.0 μB/f.u.

---

Record 14
Here is an optimized crystal structure of Sr2ZrTc from Alexandria via LeMat-Bulk. Energies are from PBE.

The structure in POSCAR format:
```
Sr2ZrTc
1.0
5.403 0.000 0.000
0.000 3.181 -0.022
0.000 2.499 6.070
Zr Sr Tc
1 2 1
Cartesian
2.701 4.260 4.537
0.000 0.135 0.065
0.000 2.705 2.959
2.701 1.420 1.512
```

Values from the calculation:
total energy: -18.67 eV for the cell shown
energy relative to the lowest polymorph listed for this composition: 65.5 kJ per mole of atoms
density of states at the Fermi level: 1.242 states/eV/atom
calculated formation energy: 0.90 eV per atom
total moment: 0.0 μB/f.u.

---

Record 15
Here is an optimized crystal structure of Sr2ZrTc from Alexandria via LeMat-Bulk. Energies are from PBE.

The structure in POSCAR format:
```
Sr2ZrTc
1.0
5.260 -0.020 0.000
0.001 5.260 0.000
-2.631 -2.620 3.726
Zr Sr Tc
1 2 1
Cartesian
2.630 -0.010 1.863
0.001 2.630 1.863
0.000 0.000 0.000
2.631 2.620 0.000
```

Values from the calculation:
total energy: -19.34 eV for the cell shown
energy relative to the lowest polymorph listed for this composition: 49.4 kJ per mole of atoms
density of states at the Fermi level: 0.934 states/eV/atom
calculated formation energy: 0.74 eV per atom
total moment: 0.0 μB/f.u.

---

Record 16
Here is an optimized crystal structure of SrZrTc2 from Alexandria via LeMat-Bulk. Energies are from PBE.

The structure in POSCAR format:
```
SrZrTc2
1.0
5.422 -0.009 -0.001
4.447 3.102 -0.001
1.542 0.483 5.420
Zr Sr Tc
1 1 2
Cartesian
5.459 1.711 3.244
2.926 0.917 1.287
1.858 0.582 4.889
8.416 2.638 4.128
```

Values from the calculation:
total energy: -29.18 eV for the cell shown
energy relative to the lowest polymorph listed for this composition: 13.6 kJ per mole of atoms
density of states at the Fermi level: 1.051 states/eV/atom
calculated formation energy: 0.45 eV per atom
total moment: 0.0 μB/f.u.